# La2Ce3ThSe6 | Alexandria via LeMat-Bulk | PBE | relaxed
# Total moment = 2.8 μB per formula unit
# Final energy = -6.50 eV per atom
# DOS(E_F) = 1.73 states/eV per atom
# Raw formation energy = -1.83 eV/atom
data_La2Ce3ThSe6
_chemical_formula_sum 'La4 Ce6 Th2 Se12'
_symmetry_space_group_name_H-M 'C 1 2/m 1'
_symmetry_Int_Tables_number 12
_cell_length_a 18.509
_cell_length_b 4.232
_cell_length_c 8.493
_cell_angle_alpha 90.00
_cell_angle_beta 103.62
_cell_angle_gamma 90.00
loop_
_symmetry_equiv_pos_as_xyz
'x,y,z'
'-x,-y,-z'
'-x,y,-z'
'x,-y,z'
'x+1/2,y+1/2,z'
'-x+1/2,-y+1/2,-z'
'-x+1/2,y+1/2,-z'
'x+1/2,-y+1/2,z'
loop_
_atom_site_label
_atom_site_fract_x
_atom_site_fract_y
_atom_site_fract_z
La1 0.165 0.000 0.332
Ce1 0.000 0.500 0.500
Ce2 0.167 0.000 0.835
Th1 0.000 0.500 0.000
Se1 0.002 0.000 0.750
Se2 0.166 0.500 0.588
Se3 0.167 0.500 0.079